This record from the Alexandria database describes an optimized crystal structure of Na3B2PdO6. The functional is GGA-PBE.

Raw formation energy in eV per atom: -1.6717
Symmetry: No. 164

abc: 5.185 5.185 6.191
angles: 90.00 90.00 120.00
Atoms (fractional coordinates):
O (0.358, 0.179, 0.725)
O (0.179, 0.358, 0.275)
O (0.821, 0.642, 0.725)
O (0.642, 0.821, 0.275)
O (0.179, 0.821, 0.275)
O (0.821, 0.179, 0.725)
Na (0.333, 0.667, 0.752)
Na (0.000, 0.000, 0.000)
Na (0.667, 0.333, 0.248)
B (0.333, 0.667, 0.289)
B (0.667, 0.333, 0.711)
Pd (0.000, 0.000, 0.500)

This record from the Alexandria database describes an optimized crystal structure of NaPm3B4O12. The functional is GGA-PBE.

Raw formation energy in eV per atom: -2.6286
Symmetry: No. 155

abc: 6.752 6.752 6.752
angles: 101.79 101.79 101.79
Atoms (fractional coordinates):
O (0.986, 0.179, 0.388)
O (0.014, 0.612, 0.821)
O (0.368, 0.632, 0.500)
O (0.500, 0.368, 0.632)
O (0.612, 0.821, 0.014)
O (0.821, 0.014, 0.612)
O (0.100, 0.900, 0.500)
O (0.632, 0.500, 0.368)
O (0.500, 0.100, 0.900)
O (0.179, 0.388, 0.986)
O (0.900, 0.500, 0.100)
O (0.388, 0.986, 0.179)
B (0.500, 0.968, 0.032)
B (0.968, 0.032, 0.500)
B (0.032, 0.500, 0.968)
B (0.500, 0.500, 0.500)
Pm (0.533, 0.467, 0.000)
Pm (0.467, 0.000, 0.533)
Pm (0.000, 0.533, 0.467)
Na (0.000, 0.000, 0.000)

This record from the Alexandria database describes an optimized crystal structure of Na4Pm3BO8. The functional is GGA-PBE.

Raw formation energy in eV per atom: -2.1825
Symmetry: No. 12

abc: 6.596 6.581 7.004
angles: 115.62 118.09 90.00
Atoms (fractional coordinates):
O (0.207, 0.357, 0.060)
O (0.699, 0.221, 0.397)
O (0.282, 0.282, 0.564)
O (0.718, 0.718, 0.436)
O (0.793, 0.643, 0.940)
O (0.852, 0.357, 0.060)
O (0.301, 0.779, 0.603)
O (0.148, 0.643, 0.940)
Na (0.000, 0.000, 0.000)
Na (0.500, 0.000, 0.000)
Na (0.000, 0.000, 0.500)
Na (0.500, 0.000, 0.500)
Pm (0.500, 0.500, 0.500)
Pm (0.500, 0.500, 0.000)
Pm (0.000, 0.500, 0.500)
B (0.000, 0.500, 0.000)

This record from the Alexandria database describes an optimized crystal structure of NaPm2BO5. The functional is GGA-PBE.

Raw formation energy in eV per atom: -2.4784
Symmetry: No. 127

abc: 5.231 6.600 6.600
angles: 90.00 90.00 90.00
Atoms (fractional coordinates):
Pm (0.500, 0.179, 0.321)
Pm (0.500, 0.821, 0.679)
Pm (0.500, 0.321, 0.821)
Pm (0.500, 0.679, 0.179)
B (0.000, 0.500, 0.000)
B (0.000, 0.000, 0.500)
O (0.500, 0.000, 0.000)
O (0.216, 0.880, 0.380)
O (0.216, 0.120, 0.620)
O (0.784, 0.620, 0.880)
O (0.784, 0.880, 0.380)
O (0.784, 0.120, 0.620)
O (0.784, 0.380, 0.120)
O (0.500, 0.500, 0.500)
O (0.216, 0.380, 0.120)
O (0.216, 0.620, 0.880)
Na (0.000, 0.000, 0.000)
Na (0.000, 0.500, 0.500)

This record from the Alexandria database describes an optimized crystal structure of NaPm2B2O6. The functional is GGA-PBE.

Raw formation energy in eV per atom: -2.4732
Symmetry: No. 147

abc: 5.361 5.361 6.869
angles: 90.00 90.00 120.00
Atoms (fractional coordinates):
Pm (0.667, 0.333, 0.264)
Pm (0.333, 0.667, 0.736)
O (0.895, 0.615, 0.784)
O (0.615, 0.719, 0.216)
O (0.105, 0.385, 0.216)
O (0.385, 0.281, 0.784)
O (0.281, 0.895, 0.216)
O (0.719, 0.105, 0.784)
B (0.667, 0.333, 0.782)
B (0.333, 0.667, 0.218)
Na (0.000, 0.000, 0.000)

This record from the Alexandria database describes an optimized crystal structure of NaPmBO4. The functional is GGA-PBE.

Raw formation energy in eV per atom: -2.3667
Symmetry: No. 11

abc: 5.536 4.531 7.236
angles: 90.00 98.57 90.00
Atoms (fractional coordinates):
Na (0.734, 0.750, 0.967)
Na (0.266, 0.250, 0.033)
O (0.339, 0.750, 0.499)
O (0.046, 0.513, 0.259)
O (0.954, 0.487, 0.741)
O (0.435, 0.750, 0.181)
O (0.954, 0.013, 0.741)
O (0.565, 0.250, 0.819)
O (0.661, 0.250, 0.501)
O (0.046, 0.987, 0.259)
Pm (0.749, 0.750, 0.434)
Pm (0.251, 0.250, 0.566)
B (0.757, 0.250, 0.708)
B (0.243, 0.750, 0.292)

This record from the Alexandria database describes an optimized crystal structure of NaPr2BO5. The functional is GGA-PBE.

Raw formation energy in eV per atom: -2.4146
Symmetry: No. 127

abc: 5.272 6.729 6.729
angles: 90.00 90.00 90.00
Atoms (fractional coordinates):
Pr (0.500, 0.680, 0.180)
Pr (0.500, 0.820, 0.680)
Pr (0.500, 0.320, 0.820)
Pr (0.500, 0.180, 0.320)
O (0.785, 0.882, 0.382)
O (0.500, 0.000, 0.000)
O (0.500, 0.500, 0.500)
O (0.785, 0.618, 0.882)
O (0.215, 0.118, 0.618)
O (0.215, 0.618, 0.882)
O (0.215, 0.382, 0.118)
O (0.215, 0.882, 0.382)
O (0.785, 0.118, 0.618)
O (0.785, 0.382, 0.118)
B (0.000, 0.500, 0.000)
B (0.000, 0.000, 0.500)
Na (0.000, 0.000, 0.000)
Na (0.000, 0.500, 0.500)

This record from the Alexandria database describes an optimized crystal structure of NaPr3B2O8. The functional is GGA-PBE.

Raw formation energy in eV per atom: -2.8353
Symmetry: No. 164

abc: 5.277 5.277 6.690
angles: 90.00 90.00 120.00
Atoms (fractional coordinates):
O (0.182, 0.818, 0.292)
O (0.182, 0.364, 0.292)
O (0.667, 0.333, 0.010)
O (0.818, 0.182, 0.708)
O (0.636, 0.818, 0.292)
O (0.333, 0.667, 0.990)
O (0.818, 0.636, 0.708)
O (0.364, 0.182, 0.708)
Pr (0.333, 0.667, 0.660)
Pr (0.667, 0.333, 0.340)
Pr (0.000, 0.000, 0.000)
Na (0.000, 0.000, 0.500)
B (0.333, 0.667, 0.208)
B (0.667, 0.333, 0.792)

Please write out number 5 again, unchanged.
This record from the Alexandria database describes an optimized crystal structure of NaPm2B2O6. The functional is GGA-PBE.

Raw formation energy in eV per atom: -2.4732
Symmetry: No. 147

abc: 5.361 5.361 6.869
angles: 90.00 90.00 120.00
Atoms (fractional coordinates):
Pm (0.667, 0.333, 0.264)
Pm (0.333, 0.667, 0.736)
O (0.895, 0.615, 0.784)
O (0.615, 0.719, 0.216)
O (0.105, 0.385, 0.216)
O (0.385, 0.281, 0.784)
O (0.281, 0.895, 0.216)
O (0.719, 0.105, 0.784)
B (0.667, 0.333, 0.782)
B (0.333, 0.667, 0.218)
Na (0.000, 0.000, 0.000)

What did the third record say?
This record from the Alexandria database describes an optimized crystal structure of Na4Pm3BO8. The functional is GGA-PBE.

Raw formation energy in eV per atom: -2.1825
Symmetry: No. 12

abc: 6.596 6.581 7.004
angles: 115.62 118.09 90.00
Atoms (fractional coordinates):
O (0.207, 0.357, 0.060)
O (0.699, 0.221, 0.397)
O (0.282, 0.282, 0.564)
O (0.718, 0.718, 0.436)
O (0.793, 0.643, 0.940)
O (0.852, 0.357, 0.060)
O (0.301, 0.779, 0.603)
O (0.148, 0.643, 0.940)
Na (0.000, 0.000, 0.000)
Na (0.500, 0.000, 0.000)
Na (0.000, 0.000, 0.500)
Na (0.500, 0.000, 0.500)
Pm (0.500, 0.500, 0.500)
Pm (0.500, 0.500, 0.000)
Pm (0.000, 0.500, 0.500)
B (0.000, 0.500, 0.000)

- Which of these has the highest raw formation energy?
  Na3B2PdO6

What did the first record say?
This record from the Alexandria database describes an optimized crystal structure of Na3B2PdO6. The functional is GGA-PBE.

Raw formation energy in eV per atom: -1.6717
Symmetry: No. 164

abc: 5.185 5.185 6.191
angles: 90.00 90.00 120.00
Atoms (fractional coordinates):
O (0.358, 0.179, 0.725)
O (0.179, 0.358, 0.275)
O (0.821, 0.642, 0.725)
O (0.642, 0.821, 0.275)
O (0.179, 0.821, 0.275)
O (0.821, 0.179, 0.725)
Na (0.333, 0.667, 0.752)
Na (0.000, 0.000, 0.000)
Na (0.667, 0.333, 0.248)
B (0.333, 0.667, 0.289)
B (0.667, 0.333, 0.711)
Pd (0.000, 0.000, 0.500)